A plane-wave DFT calculation with GGA+U was carried out for a geometry-optimized ScVI2O structure.

Lattice parameters (Å, degrees): 5.795 5.795 3.719 90.00 90.00 90.00
Each line ends with the local moment (μB).
Element x y z (fractional)
I: 0.500 0.000 0.000  -0.03
I: 0.000 0.500 0.000  -0.03
V: 0.000 0.000 0.000  2.34
Sc: 0.500 0.500 0.500  0.86
O: 0.000 0.000 0.500  -0.19

Results
total magnetization: 3.69 μB/f.u.
DFT total energy: -4.9574 eV/atom
symmetry: P4/mmm